(1)
CdBiRh after structural relaxation. Source: Alexandria via LeMat-Bulk, functional PBE.

Structure (POSCAR):
```
CdBiRh
1.0
3.2639 0.0000 0.0000
0.0000 3.2639 0.0000
-1.6319 -1.6319 6.3192
Cd Bi Rh
1 1 1
Direct
0.3012 0.3012 0.6023 Cd
0.0326 0.0326 0.0652 Bi
0.6662 0.6662 0.3324 Rh
```

Computed properties:
- Calculated total energy: -12.4 eV per cell
- ΔH_f (0 K): -0.10 eV/atom
- Space group: I4mm (107)


(2)
CdBiRh after structural relaxation. Source: Alexandria via LeMat-Bulk, functional PBE.

Structure (POSCAR):
```
CdBiRh
1.0
-0.3320 3.6456 2.9898
0.0507 -2.9940 3.6564
6.2657 0.3839 0.2277
Cd Bi Rh
2 2 2
Direct
0.7727 0.0986 0.7364 Cd
0.2724 0.5985 0.2364 Cd
0.7722 0.0986 0.2365 Bi
0.2724 0.5988 0.7364 Bi
0.7724 0.5986 0.4865 Rh
0.7724 0.5986 0.9865 Rh
```

Computed properties:
- Calculated total energy: -24.6 eV per cell
- ΔH_f (0 K): -0.04 eV/atom
- Space group: P4_2/mmc (131)